1.
LiBiRh: optimized geometry, GGA-PBE.

Cell and atoms, written as CIF:
```
data_LiBiRh
_space_group_name_H-M_alt 'P 3 m 1'
_space_group_IT_number 156
_space_group_name_Hall 'P 3 -2"'
_cell_length_a 4.3961
_cell_length_b 4.3961
_cell_length_c 3.2252
_cell_angle_alpha 90.00
_cell_angle_beta 90.00
_cell_angle_gamma 120.00
loop_
_atom_site_label
_atom_site_type_symbol
_atom_site_fract_x
_atom_site_fract_y
_atom_site_fract_z
_atom_site_occupancy
Li1 Li 0.0000 0.0000 0.0000 1
Bi1 Bi 0.6667 0.3333 0.4834 1
Rh1 Rh 0.3333 0.6667 0.9693 1
```

Computed properties:
Energy of formation from the pure elements   -13.69 kJ/mol of atoms
Energy relative to the lowest polymorph listed for this composition   236 meV/atom
Magnetic moment   0.00 μB/f.u.
Calculated total energy   -13.6 eV/cell

***

2.
LiBi2Rh: optimized geometry, GGA-PBE.

Cell and atoms, written as CIF:
```
data_LiBi2Rh
_space_group_name_H-M_alt 'R -3 m'
_space_group_IT_number 166
_space_group_name_Hall '-R 3 2"'
_cell_length_a 3.6193
_cell_length_b 3.6193
_cell_length_c 27.6073
_cell_angle_alpha 90.00
_cell_angle_beta 90.00
_cell_angle_gamma 120.00
loop_
_atom_site_label
_atom_site_type_symbol
_atom_site_fract_x
_atom_site_fract_y
_atom_site_fract_z
_atom_site_occupancy
Li1 Li 0.0000 0.0000 0.0000 1
Bi1 Bi 0.0000 0.0000 0.1010 1
Rh1 Rh 0.0000 0.0000 0.5000 1
```

Computed properties:
Energy of formation from the pure elements   -9.53 kJ/mol of atoms
Magnetic moment   0.00 μB/f.u.
Calculated total energy   -52.3 eV/cell

***

3.
Li2BiRh2: optimized geometry, GGA-PBE.

Cell and atoms, written as CIF:
```
data_Li2BiRh2
_space_group_name_H-M_alt 'P 4/m b m'
_space_group_IT_number 127
_space_group_name_Hall '-P 4 2ab'
_cell_length_a 6.7085
_cell_length_b 6.7085
_cell_length_c 3.9792
_cell_angle_alpha 90.00
_cell_angle_beta 90.00
_cell_angle_gamma 90.00
loop_
_atom_site_label
_atom_site_type_symbol
_atom_site_fract_x
_atom_site_fract_y
_atom_site_fract_z
_atom_site_occupancy
Li1 Li 0.1540 0.3460 0.0000 1
Bi1 Bi 0.0000 0.0000 0.5000 1
Rh1 Rh 0.1370 0.6370 0.5000 1
```

Computed properties:
Energy of formation from the pure elements   -11.65 kJ/mol of atoms
Energy relative to the lowest polymorph listed for this composition   96 meV/atom
Magnetic moment   0.00 μB/f.u.
Calculated total energy   -46.0 eV/cell

***

4.
LiBiRh: optimized geometry, GGA-PBE.

Cell and atoms, written as CIF:
```
data_LiBiRh
_space_group_name_H-M_alt 'F -4 3 m'
_space_group_IT_number 216
_space_group_name_Hall 'F -4 2 3'
_cell_length_a 6.2740
_cell_length_b 6.2740
_cell_length_c 6.2740
_cell_angle_alpha 90.00
_cell_angle_beta 90.00
_cell_angle_gamma 90.00
loop_
_atom_site_label
_atom_site_type_symbol
_atom_site_fract_x
_atom_site_fract_y
_atom_site_fract_z
_atom_site_occupancy
Li1 Li 0.0000 0.0000 0.0000 1
Bi1 Bi 0.0000 0.0000 0.5000 1
Rh1 Rh 0.2500 0.2500 0.7500 1
```

Computed properties:
Energy of formation from the pure elements   -22.17 kJ/mol of atoms
Energy relative to the lowest polymorph listed for this composition   148 meV/atom
Magnetic moment   0.00 μB/f.u.
Calculated total energy   -55.3 eV/cell

***

5.
Li2BiRh2: optimized geometry, GGA-PBE.

Cell and atoms, written as CIF:
```
data_Li2BiRh2
_space_group_name_H-M_alt 'P 4/m b m'
_space_group_IT_number 127
_space_group_name_Hall '-P 4 2ab'
_cell_length_a 6.7547
_cell_length_b 6.7547
_cell_length_c 3.2685
_cell_angle_alpha 90.00
_cell_angle_beta 90.00
_cell_angle_gamma 90.00
loop_
_atom_site_label
_atom_site_type_symbol
_atom_site_fract_x
_atom_site_fract_y
_atom_site_fract_z
_atom_site_occupancy
Li1 Li 0.1181 0.3819 0.0000 1
Bi1 Bi 0.0000 0.0000 0.0000 1
Rh1 Rh 0.1781 0.6781 0.5000 1
```

Computed properties:
Energy of formation from the pure elements   -7.50 kJ/mol of atoms
Energy relative to the lowest polymorph listed for this composition   139 meV/atom
Magnetic moment   0.00 μB/f.u.
Calculated total energy   -45.6 eV/cell

***

6.
LiBi2Rh: optimized geometry, GGA-PBE.

Cell and atoms, written as CIF:
```
data_LiBi2Rh
_space_group_name_H-M_alt 'P 4/m m m'
_space_group_IT_number 123
_space_group_name_Hall '-P 4 2'
_cell_length_a 4.7911
_cell_length_b 4.7911
_cell_length_c 3.6855
_cell_angle_alpha 90.00
_cell_angle_beta 90.00
_cell_angle_gamma 90.00
loop_
_atom_site_label
_atom_site_type_symbol
_atom_site_fract_x
_atom_site_fract_y
_atom_site_fract_z
_atom_site_occupancy
Li1 Li 0.0000 0.0000 0.0000 1
Bi1 Bi 0.0000 0.5000 0.5000 1
Rh1 Rh 0.5000 0.5000 0.0000 1
```

Computed properties:
Energy of formation from the pure elements   -14.39 kJ/mol of atoms
Magnetic moment   0.00 μB/f.u.
Calculated total energy   -17.6 eV/cell

***

7.
LiBi3Rh: optimized geometry, GGA-PBE.

Cell and atoms, written as CIF:
```
data_LiBi3Rh
_space_group_name_H-M_alt 'P m -3 m'
_space_group_IT_number 221
_space_group_name_Hall '-P 4 2 3'
_cell_length_a 5.0018
_cell_length_b 5.0018
_cell_length_c 5.0018
_cell_angle_alpha 90.00
_cell_angle_beta 90.00
_cell_angle_gamma 90.00
loop_
_atom_site_label
_atom_site_type_symbol
_atom_site_fract_x
_atom_site_fract_y
_atom_site_fract_z
_atom_site_occupancy
Li1 Li 0.0000 0.0000 0.0000 1
Bi1 Bi 0.0000 0.0000 0.5000 1
Rh1 Rh 0.5000 0.5000 0.5000 1
```

Computed properties:
Energy of formation from the pure elements   51.51 kJ/mol of atoms
Energy relative to the lowest polymorph listed for this composition   714 meV/atom
Magnetic moment   0.00 μB/f.u.
Calculated total energy   -18.2 eV/cell

***

8.
LiBi5Rh3: optimized geometry, GGA-PBE.

Cell and atoms, written as CIF:
```
data_LiBi5Rh3
_space_group_name_H-M_alt 'C 1 2/m 1'
_space_group_IT_number 12
_space_group_name_Hall '-C 2y'
_cell_length_a 11.6988
_cell_length_b 9.2079
_cell_length_c 10.0891
_cell_angle_alpha 90.00
_cell_angle_beta 120.48
_cell_angle_gamma 90.00
loop_
_atom_site_label
_atom_site_type_symbol
_atom_site_fract_x
_atom_site_fract_y
_atom_site_fract_z
_atom_site_occupancy
Li1 Li 0.0718 0.0000 0.2953 1
Bi1 Bi 0.0000 0.2916 0.0000 1
Bi2 Bi 0.0632 0.5000 0.3688 1
Bi3 Bi 0.1777 0.2208 0.6183 1
Bi4 Bi 0.2296 0.0000 0.0041 1
Rh1 Rh 0.0000 0.0000 0.0000 1
Rh2 Rh 0.0000 0.0000 0.5000 1
Rh3 Rh 0.1787 0.5000 0.1904 1
Rh4 Rh 0.1895 0.5000 0.7022 1
```

Computed properties:
Energy of formation from the pure elements   -4.71 kJ/mol of atoms
Magnetic moment   0.00 μB/f.u.
Calculated total energy   -175.2 eV/cell

***

9.
LiBi6Rh: optimized geometry, GGA-PBE.

Cell and atoms, written as CIF:
```
data_LiBi6Rh
_space_group_name_H-M_alt 'C 1 2/m 1'
_space_group_IT_number 12
_space_group_name_Hall '-C 2y'
_cell_length_a 6.5832
_cell_length_b 11.1676
_cell_length_c 6.6178
_cell_angle_alpha 90.00
_cell_angle_beta 107.51
_cell_angle_gamma 90.00
loop_
_atom_site_label
_atom_site_type_symbol
_atom_site_fract_x
_atom_site_fract_y
_atom_site_fract_z
_atom_site_occupancy
Li1 Li 0.0000 0.0000 0.0000 1
Bi1 Bi 0.0610 0.2114 0.7519 1
Bi2 Bi 0.0671 0.5000 0.2927 1
Rh1 Rh 0.0000 0.0000 0.5000 1
```

Computed properties:
Energy of formation from the pure elements   -4.77 kJ/mol of atoms
Magnetic moment   0.00 μB/f.u.
Calculated total energy   -65.9 eV/cell

***

10.
LiBi2Rh: optimized geometry, GGA-PBE.

Cell and atoms, written as CIF:
```
data_LiBi2Rh
_space_group_name_H-M_alt 'P -3 m 1'
_space_group_IT_number 164
_space_group_name_Hall '-P 3 2"'
_cell_length_a 4.3725
_cell_length_b 4.3725
_cell_length_c 5.5520
_cell_angle_alpha 90.00
_cell_angle_beta 90.00
_cell_angle_gamma 120.00
loop_
_atom_site_label
_atom_site_type_symbol
_atom_site_fract_x
_atom_site_fract_y
_atom_site_fract_z
_atom_site_occupancy
Li1 Li 0.0000 0.0000 0.0000 1
Bi1 Bi 0.3333 0.6667 0.7136 1
Rh1 Rh 0.0000 0.0000 0.5000 1
```

Computed properties:
Energy of formation from the pure elements   -28.07 kJ/mol of atoms
Magnetic moment   0.00 μB/f.u.
Calculated total energy   -18.2 eV/cell